Entry 1:
# Na3Sn4Pt2

Crystalline Na3Sn4Pt2 at its relaxed geometry (PBE-GGA, Alexandria via LeMat-Bulk). Values from VASP.

Geometry as Quantum ESPRESSO input:
```
&SYSTEM
  ibrav = 0, nat = 9, ntyp = 3
/
ATOMIC_SPECIES
Na 22.99 Na.upf
Sn 118.71 Sn.upf
Pt 195.08 Pt.upf
ATOMIC_POSITIONS angstrom
Na 0.0000 0.0000 0.0000
Na 2.6646 0.0000 5.2670
Na 6.4467 0.0000 3.3795
Sn -0.8346 0.0000 5.6037
Sn 1.0688 0.0000 8.0952
Sn 8.0425 0.0000 0.5514
Sn 9.9459 0.0000 3.0428
Pt 2.9488 0.0000 1.9337
Pt 6.1625 0.0000 6.7128
CELL_PARAMETERS angstrom
6.0421 -2.2399 0.0000
6.0421 2.2399 0.0000
-2.9729 0.0000 8.6466
```

## Properties
- energy above the most stable polymorph in this dataset (meV/atom) = 28
- crystal system = monoclinic
- ΔH_f (0 K) (kcal/mol of atoms) = -7.6
- magnetization (μB per formula unit) = 0.0

=====

Entry 2:
# Si2NiHgW

Crystalline Si2NiHgW at its relaxed geometry (PBE-GGA, Alexandria via LeMat-Bulk). Values from VASP.

Geometry as Quantum ESPRESSO input:
```
&SYSTEM
  ibrav = 0, nat = 5, ntyp = 4
/
ATOMIC_SPECIES
Si 28.09 Si.upf
Ni 58.69 Ni.upf
Hg 200.59 Hg.upf
W 183.84 W.upf
ATOMIC_POSITIONS angstrom
Si 0.0000 2.3913 0.0000
Si 2.3913 0.0000 0.0000
Ni 0.0000 0.0000 2.3463
Hg 2.3913 2.3913 2.3463
W 0.0000 0.0000 0.0000
CELL_PARAMETERS angstrom
4.7827 0.0000 0.0000
0.0000 4.7827 0.0000
0.0000 0.0000 4.6926
```

## Properties
- crystal system = tetragonal
- magnetization (μB per formula unit) = 0.0
- uncorrected formation energy (eV per formula unit) = 4.65